This record from Alexandria describes KZrW2 after structural relaxation. The functional is PBE.

Unit cell a=11.826 b=11.826 c=11.826 alpha=13.99 beta=13.99 gamma=13.99
Atoms (fractional coordinates):
Zr1 0.512 0.512 0.512
W1 0.254 0.254 0.254
W2 0.989 0.989 0.989
K1 0.745 0.745 0.745

Values from the calculation:
Calculated density = 9.82 g cm⁻³
ΔE to the lowest computed polymorph = 235 meV/atom
Energy of formation = 918 meV per atom
Calculated volume = 84.2 Å³/cell
Final energy = -31.9 eV for the cell shown

---

This record from Alexandria describes NaAc2As3Pt4 after structural relaxation. The functional is PBE.

Unit cell a=4.451 b=4.451 c=10.762 alpha=90.00 beta=90.00 gamma=90.00
Atoms (fractional coordinates):
As1 0.000 0.500 0.124
As2 0.500 0.000 0.876
As3 0.000 0.000 0.500
Ac1 0.500 0.000 0.239
Ac2 0.000 0.500 0.761
Pt1 0.000 0.000 0.000
Pt2 0.500 0.500 0.000
Pt3 0.500 0.000 0.646
Pt4 0.000 0.500 0.354
Na1 0.500 0.500 0.500

Values from the calculation:
Calculated density = 11.54 g cm⁻³
Energy of formation = -834 meV per atom
Calculated volume = 213.2 Å³/cell
Final energy = -56.0 eV for the cell shown

---

This record from Alexandria describes HoPaZn2 after structural relaxation. The functional is PBE.

Unit cell a=3.205 b=3.205 c=8.339 alpha=90.00 beta=90.00 gamma=90.00
Atoms (fractional coordinates):
Zn1 0.000 0.000 0.255
Zn2 0.000 0.000 0.745
Pa1 0.500 0.500 0.000
Ho1 0.500 0.500 0.500

Values from the calculation:
Calculated density = 10.21 g cm⁻³
ΔE to the lowest computed polymorph = 0 meV/atom
Energy of formation = -116 meV per atom
Calculated volume = 85.7 Å³/cell
Final energy = -17.1 eV for the cell shown

---

This record from Alexandria describes AgS2F2 after structural relaxation. The functional is PBE.

Unit cell a=7.757 b=7.757 c=2.592 alpha=90.00 beta=90.00 gamma=90.00
Atoms (fractional coordinates):
Ag1 0.500 0.500 0.000
Ag2 0.000 0.000 0.000
F1 0.119 0.381 0.000
F2 0.381 0.881 0.000
F3 0.881 0.619 0.000
F4 0.619 0.119 0.000
S1 0.229 0.729 0.500
S2 0.729 0.771 0.500
S3 0.271 0.229 0.500
S4 0.771 0.271 0.500

Values from the calculation:
Calculated density = 4.47 g cm⁻³
ΔE to the lowest computed polymorph = 700 meV/atom
Calculated volume = 156.0 Å³/cell
ΔE_f (raw) = 113 meV per atom
Final energy = -28.6 eV for the cell shown

---

This record from Alexandria describes KSbPt2 after structural relaxation. The functional is PBE.

Unit cell a=3.522 b=3.522 c=7.625 alpha=90.00 beta=90.00 gamma=90.00
Atoms (fractional coordinates):
Pt1 0.500 0.500 0.247
Pt2 0.000 0.000 0.067
K1 0.500 0.500 0.774
Sb1 0.000 0.000 0.411

Values from the calculation:
Calculated density = 9.67 g cm⁻³
ΔE to the lowest computed polymorph = 230 meV/atom
Calculated volume = 94.6 Å³/cell
ΔE_f (raw) = -111 meV per atom
Final energy = -17.7 eV for the cell shown

---

This record from Alexandria describes BiHRh after structural relaxation. The functional is PBE.

Unit cell a=3.281 b=3.281 c=4.790 alpha=90.00 beta=90.00 gamma=120.00
Atoms (fractional coordinates):
Bi1 0.000 0.000 0.000
Rh1 0.667 0.333 0.500
H1 0.333 0.667 0.500

Values from the calculation:
Calculated density = 11.63 g cm⁻³
ΔE to the lowest computed polymorph = 130 meV/atom
Calculated volume = 44.7 Å³/cell
Final energy = -14.4 eV for the cell shown

---

This record from Alexandria describes LaTeOs2 after structural relaxation. The functional is PBE.

Unit cell a=5.070 b=5.070 c=5.070 alpha=127.22 beta=127.22 gamma=77.89
Atoms (fractional coordinates):
Os1 0.500 0.500 0.000
Os2 0.000 0.000 0.000
Te1 0.250 0.750 0.500
La1 0.750 0.250 0.500

Values from the calculation:
Calculated density = 13.41 g cm⁻³
Calculated volume = 80.1 Å³/cell
ΔE_f (raw) = 563 meV per atom
Final energy = -28.3 eV for the cell shown

---

This record from Alexandria describes Tm4ZnSb2 after structural relaxation. The functional is PBE.

Unit cell a=4.131 b=7.370 c=7.755 alpha=117.33 beta=105.45 gamma=90.00
Atoms (fractional coordinates):
Zn1 0.000 0.000 0.000
Tm1 0.614 0.323 0.228
Tm2 0.386 0.677 0.772
Tm3 0.887 0.244 0.775
Tm4 0.113 0.756 0.225
Sb1 0.765 0.774 0.529
Sb2 0.235 0.226 0.471

Values from the calculation:
Calculated density = 8.17 g cm⁻³
Calculated volume = 200.1 Å³/cell
ΔE_f (raw) = -523 meV per atom
Final energy = -31.1 eV for the cell shown

---

This record from Alexandria describes Ti3Zn3Ir2 after structural relaxation. The functional is PBE.

Unit cell a=2.952 b=7.067 c=7.067 alpha=120.00 beta=90.00 gamma=90.00
Atoms (fractional coordinates):
Ti1 0.500 0.413 0.413
Ti2 0.500 0.000 0.587
Ti3 0.500 0.587 0.000
Zn1 0.000 0.000 0.224
Zn2 0.000 0.224 0.000
Zn3 0.000 0.776 0.776
Ir1 0.000 0.667 0.333
Ir2 0.000 0.333 0.667

Values from the calculation:
Calculated density = 9.42 g cm⁻³
Energy of formation = -506 meV per atom
Calculated volume = 127.7 Å³/cell
Final energy = -49.3 eV for the cell shown

---

This record from Alexandria describes MgNbPd2 after structural relaxation. The functional is PBE.

Unit cell a=2.930 b=2.930 c=9.097 alpha=80.73 beta=80.73 gamma=60.00
Atoms (fractional coordinates):
Mg1 0.000 0.000 0.000
Nb1 0.500 0.500 0.500
Pd1 0.252 0.252 0.245
Pd2 0.748 0.748 0.755

Values from the calculation:
Calculated density = 8.25 g cm⁻³
Energy of formation = -304 meV per atom
Calculated volume = 66.5 Å³/cell
Final energy = -23.3 eV for the cell shown

---

This record from Alexandria describes BPPtO2 after structural relaxation. The functional is PBE.

Unit cell a=3.190 b=3.190 c=7.979 alpha=90.00 beta=90.00 gamma=90.00
Atoms (fractional coordinates):
O1 0.000 0.500 0.000
O2 0.500 0.000 0.000
P1 0.000 0.000 0.500
Pt1 0.500 0.500 0.500
B1 0.000 0.000 0.000

Values from the calculation:
Calculated density = 5.50 g cm⁻³
ΔE to the lowest computed polymorph = 0 meV/atom
Calculated volume = 81.2 Å³/cell
ΔE_f (raw) = -176 meV per atom
Final energy = -28.9 eV for the cell shown

---

This record from Alexandria describes DyBi4 after structural relaxation. The functional is PBE.

Unit cell a=5.868 b=5.868 c=5.868 alpha=90.00 beta=90.00 gamma=90.00
Atoms (fractional coordinates):
Dy1 0.500 0.500 0.500
Bi1 0.500 0.500 0.000
Bi2 0.500 0.000 0.500
Bi3 0.000 0.000 0.000
Bi4 0.000 0.500 0.500

Values from the calculation:
Calculated density = 8.20 g cm⁻³
Energy of formation = 424 meV per atom
Calculated volume = 202.1 Å³/cell
Final energy = -18.0 eV for the cell shown